Material: Ce2PuNpS4
Method: DFT, GGA-PBE
State: optimized geometry

Output
- Energy relative to the elements, uncorrected: -1.813 eV per atom
- V: 22.04 Å³ per atom
- DOS(E_F): 15.9 states/eV/cell
- Final energy: -8.769 eV/atom
- Size of the total moment: 9.1 Bohr magnetons per cell

```
8
Lattice="6.858 0.000 0.000 0.000 3.958 0.000 -2.284 0.000 6.497" Properties=species:S:1:pos:R:3 pbc="T T T"
Ce 0.000 0.000 0.000
Ce 3.429 1.979 0.000
Pu -1.142 1.979 3.248
Np 2.287 0.000 3.248
S 0.006 0.000 4.811
S 1.147 1.979 1.690
S 3.426 1.979 4.807
S 4.567 0.000 1.686
```

Material: CePuNp2Se4
Method: DFT, GGA-PBE
State: optimized geometry

Output
- Energy relative to the elements, uncorrected: -1.370 eV per atom
- V: 25.14 Å³ per atom
- DOS(E_F): 26.4 states/eV/cell
- Final energy: -8.880 eV/atom
- Size of the total moment: 15.7 Bohr magnetons per cell

```
8
Lattice="7.142 0.000 0.000 0.000 4.144 0.000 -2.405 0.000 6.795" Properties=species:S:1:pos:R:3 pbc="T T T"
Ce 0.000 0.000 0.000
Pu -1.203 2.072 3.397
Np 2.368 0.000 3.397
Np 3.571 2.072 0.000
Se 0.021 0.000 5.082
Se 1.219 2.072 1.740
Se 3.518 2.072 5.055
Se 4.716 0.000 1.713
```

Material: CePuNpSi
Method: DFT, GGA-PBE
State: optimized geometry

Output
- Energy relative to the elements, uncorrected: 0.064 eV per atom
- V: 20.36 Å³ per atom
- DOS(E_F): 67.9 states/eV/cell
- Final energy: -9.593 eV/atom
- Size of the total moment: 5.1 Bohr magnetons per cell

```
16
Lattice="6.880 0.000 0.000 0.000 6.880 0.000 0.000 0.000 6.880" Properties=species:S:1:pos:R:3 pbc="T T T"
Ce 0.000 0.000 0.000
Ce 0.000 3.440 3.440
Ce 3.440 0.000 3.440
Ce 3.440 3.440 0.000
Pu 0.000 0.000 3.440
Pu 0.000 3.440 0.000
Pu 3.440 0.000 0.000
Pu 3.440 3.440 3.440
Np 1.720 1.720 1.720
Np 1.720 5.160 5.160
Np 5.160 1.720 5.160
Np 5.160 5.160 1.720
Si 1.720 1.720 5.160
Si 1.720 5.160 1.720
Si 5.160 1.720 1.720
Si 5.160 5.160 5.160
```

Material: Ce2Pu3NpTe6
Method: DFT, GGA-PBE
State: optimized geometry

Output
- Energy relative to the elements, uncorrected: -1.093 eV per atom
- V: 31.22 Å³ per atom
- DOS(E_F): 52.3 states/eV/cell
- Final energy: -8.314 eV/atom
- Size of the total moment: 24.7 Bohr magnetons per cell

```
12
Lattice="9.738 -2.221 0.000 9.738 2.221 0.000 -2.166 0.000 8.661" Properties=species:S:1:pos:R:3 pbc="T T T"
Ce 2.514 0.000 2.877
Ce 14.797 0.000 5.784
Pu 1.464 0.000 7.218
Pu 8.656 0.000 4.331
Pu 15.847 0.000 1.443
Np 9.738 0.000 0.000
Te -1.583 0.000 6.515
Te 5.616 0.000 3.584
Te 4.509 0.000 7.988
Te 12.802 0.000 0.674
Te 11.695 0.000 5.078
Te 18.894 0.000 2.146
```

Material: Rb3Ce3NpS8
Method: DFT, GGA-PBE
State: optimized geometry

Output
- Energy relative to the elements, uncorrected: -1.701 eV per atom
- V: 31.21 Å³ per atom
- DOS(E_F): 23.8 states/eV/cell
- Final energy: -6.145 eV/atom
- Size of the total moment: 6.0 Bohr magnetons per cell

```
15
Lattice="4.168 2.406 7.779 -4.168 2.406 7.779 0.000 -4.813 7.779" Properties=species:S:1:pos:R:3 pbc="T T T"
Rb -2.084 -1.203 7.779
Rb -2.084 1.203 15.558
Rb 0.000 2.406 7.779
Ce -4.168 0.000 11.669
Ce -2.084 1.203 3.890
Ce 2.084 1.203 3.890
Np 0.000 0.000 11.669
S 0.000 0.000 5.403
S -2.042 -1.179 13.112
S 0.000 -2.358 10.225
S -2.042 1.179 10.225
S 2.042 -1.179 13.112
S 0.000 2.358 13.112
S 2.042 1.179 10.225
S 0.000 0.000 17.935
```

Material: Rb3CeNp2S6
Method: DFT, GGA-PBE
State: optimized geometry

Output
- Energy relative to the elements, uncorrected: -1.498 eV per atom
- V: 28.74 Å³ per atom
- DOS(E_F): 26.7 states/eV/cell
- Final energy: -6.454 eV/atom
- Size of the total moment: 9.0 Bohr magnetons per cell

```
12
Lattice="3.598 -6.232 0.000 3.598 6.232 0.000 -2.399 0.000 7.690" Properties=species:S:1:pos:R:3 pbc="T T T"
Rb 0.000 0.000 0.000
Rb 3.598 2.066 0.000
Rb 3.598 -2.066 0.000
Ce 2.398 0.000 3.845
Np 2.398 4.153 3.845
Np 2.398 -4.153 3.845
S 1.177 2.116 2.364
S -0.045 0.000 5.324
S 1.177 -2.116 2.364
S 3.620 2.116 5.326
S 4.842 0.000 2.366
S 3.620 -2.116 5.326
```